No. 1
Computed, not measured: crystalline K2ErOs3O12 at its relaxed geometry at the PBE level of DFT.

Cell and atoms, written as POSCAR:
```
K2ErOs3O12
1.0
3.662 2.114 6.158
-3.662 2.114 6.158
0.000 -4.229 6.158
K Er Os O
2 1 3 12
direct
0.133 0.133 0.133
0.867 0.867 0.867
0.500 0.500 0.500
0.000 0.500 0.500
0.500 0.000 0.500
0.500 0.500 0.000
0.140 0.581 0.581
0.197 0.197 0.576
0.197 0.576 0.197
0.419 0.419 0.860
0.419 0.860 0.419
0.424 0.803 0.803
0.576 0.197 0.197
0.581 0.140 0.581
0.581 0.581 0.140
0.803 0.424 0.803
0.803 0.803 0.424
0.860 0.419 0.419
```

Calculated values
N(E_F)   8.45 states/eV/cell
Energy   -0.5175 Ry/atom
Uncorrected formation energy   -143.60 kJ per mole of atoms
Space-group type   R-3m (166)

***

No. 2
Computed, not measured: crystalline KIr at its relaxed geometry at the PBE level of DFT.

Cell and atoms, written as POSCAR:
```
KIr
1.0
5.824 0.000 0.000
0.000 5.824 0.000
0.000 0.000 5.824
K Ir
4 4
direct
0.096 0.096 0.096
0.404 0.904 0.596
0.596 0.404 0.904
0.904 0.596 0.404
0.107 0.607 0.893
0.393 0.393 0.393
0.607 0.893 0.107
0.893 0.107 0.607
```

Calculated values
N(E_F)   12.92 states/eV/cell
Energy   -0.2373 Ry/atom
Space-group type   P2_13 (198)
Energy of formation   1751 meV/atom

***

No. 3
Computed, not measured: crystalline NpGe3Pt2 at its relaxed geometry at the PBE level of DFT.

Cell and atoms, written as POSCAR:
```
NpGe3Pt2
1.0
4.438 0.000 0.000
0.000 7.369 0.000
2.216 3.684 6.853
Np Ge Pt
2 6 4
direct
0.135 0.135 0.230
0.865 0.865 0.770
0.000 0.339 0.500
0.000 0.661 0.500
0.327 0.121 0.846
0.327 0.532 0.847
0.673 0.468 0.153
0.673 0.879 0.154
0.197 0.697 0.107
0.500 0.185 0.500
0.500 0.815 0.500
0.803 0.303 0.893
```

Calculated values
N(E_F)   23.97 states/eV/cell
Energy   -0.5051 Ry/atom
Space-group type   P-1 (2)
Energy of formation   -393 meV/atom